[1]
# LiTlOs2Cl | the Alexandria database | GGA-PBEsol | optimized geometry
# VASP energy: -3.98 eV per atom
# D(E_F): 5.56 states/eV/f.u.
data_LiTlOs2Cl
_cell_length_a 5.0438
_cell_length_b 5.0438
_cell_length_c 5.1494
_cell_angle_alpha 90.00
_cell_angle_beta 90.00
_cell_angle_gamma 90.00
_symmetry_space_group_name_H-M 'P 4/m m m'
_symmetry_Int_Tables_number 123
_symmetry_space_group_name_Hall '-P 4 2'
loop_
_atom_site_label
_atom_site_type_symbol
_atom_site_fract_x
_atom_site_fract_y
_atom_site_fract_z
Li1 Li 0.0000 0.0000 0.0000
Tl1 Tl 0.0000 0.0000 0.5000
Os1 Os 0.0000 0.5000 0.5000
Cl1 Cl 0.5000 0.5000 0.0000

***

[2]
# LiReP2Cl | the Alexandria database | GGA-PBEsol | optimized geometry
# VASP energy: -5.73 eV per atom
# D(E_F): 1.99 states/eV/f.u.
data_LiReP2Cl
_cell_length_a 4.4966
_cell_length_b 4.4966
_cell_length_c 5.3986
_cell_angle_alpha 90.00
_cell_angle_beta 90.00
_cell_angle_gamma 90.00
_symmetry_space_group_name_H-M 'P 4/m m m'
_symmetry_Int_Tables_number 123
_symmetry_space_group_name_Hall '-P 4 2'
loop_
_atom_site_label
_atom_site_type_symbol
_atom_site_fract_x
_atom_site_fract_y
_atom_site_fract_z
Li1 Li 0.0000 0.0000 0.0000
Re1 Re 0.5000 0.5000 0.5000
P1 P 0.0000 0.5000 0.5000
Cl1 Cl 0.5000 0.5000 0.0000

***

[3]
# Li6PS5Cl | the Alexandria database | GGA-PBEsol | optimized geometry
# VASP energy: -4.27 eV per atom
# D(E_F): 0.00 states/eV/f.u.
data_Li6PS5Cl
_cell_length_a 10.1455
_cell_length_b 10.1455
_cell_length_c 10.1455
_cell_angle_alpha 90.00
_cell_angle_beta 90.00
_cell_angle_gamma 90.00
_symmetry_space_group_name_H-M 'F -4 3 m'
_symmetry_Int_Tables_number 216
_symmetry_space_group_name_Hall 'F -4 2 3'
loop_
_atom_site_label
_atom_site_type_symbol
_atom_site_fract_x
_atom_site_fract_y
_atom_site_fract_z
Li1 Li 0.0000 0.0000 0.2268
P1 P 0.2500 0.2500 0.7500
S1 S 0.0000 0.0000 0.0000
S2 S 0.1336 0.1336 0.6336
Cl1 Cl 0.2500 0.2500 0.2500

***

[4]
# Li20Si3P3S23Cl | the Alexandria database | GGA-PBEsol | optimized geometry
# VASP energy: -4.59 eV per atom
# D(E_F): 0.00 states/eV/f.u.
data_Li20Si3P3S23Cl
_cell_length_a 8.6692
_cell_length_b 8.7061
_cell_length_c 12.4603
_cell_angle_alpha 90.00
_cell_angle_beta 90.55
_cell_angle_gamma 90.00
_symmetry_space_group_name_H-M 'P 1 m 1'
_symmetry_Int_Tables_number 6
loop_
_symmetry_equiv_pos_as_xyz
'x,y,z'
'x,-y,z'
loop_
_atom_site_label
_atom_site_type_symbol
_atom_site_fract_x
_atom_site_fract_y
_atom_site_fract_z
Li1 Li 0.0000 0.0000 0.0000
Li2 Li 0.0093 0.0000 0.4765
Li3 Li 0.2250 0.3141 0.1921
Li4 Li 0.2451 0.2484 0.9534
Li5 Li 0.2564 0.2487 0.4324
Li6 Li 0.3249 0.2216 0.6925
Li7 Li 0.4946 0.5000 0.8946
Li8 Li 0.5081 0.5000 0.3777
Li9 Li 0.7232 0.1844 0.1837
Li10 Li 0.7488 0.2524 0.9442
Li11 Li 0.7521 0.2544 0.4203
Li12 Li 0.8413 0.2861 0.6839
Si1 Si 0.0080 0.0000 0.2422
Si2 Si 0.0161 0.0000 0.7559
Si3 Si 0.5060 0.5000 0.1360
P1 P 0.4865 0.0000 0.9418
P2 P 0.5075 0.5000 0.6303
P3 P 0.9927 0.5000 0.4349
S1 S 0.0010 0.2062 0.8425
S2 S 0.0031 0.3041 0.5271
S3 S 0.1868 0.0000 0.6382
S4 S 0.1948 0.5000 0.3484
S5 S 0.2076 0.0000 0.3426
S6 S 0.2926 0.5000 0.0419
S7 S 0.3018 0.0000 0.0393
S8 S 0.3108 0.5000 0.7174
S9 S 0.4930 0.1950 0.8495
S10 S 0.4943 0.3019 0.2361
S11 S 0.5123 0.3026 0.5387
S12 S 0.6903 0.0000 0.0297
S13 S 0.6923 0.5000 0.7353
S14 S 0.7003 0.5000 0.0339
S15 S 0.7974 0.0000 0.3380
S16 S 0.8069 0.5000 0.3362
S17 S 0.9920 0.1982 0.1436
Cl1 Cl 0.8002 0.0000 0.6609

***

[5]
# LiScP2Cl | the Alexandria database | GGA-PBEsol | optimized geometry
# VASP energy: -4.76 eV per atom
# D(E_F): 3.90 states/eV/f.u.
data_LiScP2Cl
_cell_length_a 4.9339
_cell_length_b 4.9339
_cell_length_c 5.0427
_cell_angle_alpha 90.00
_cell_angle_beta 90.00
_cell_angle_gamma 90.00
_symmetry_space_group_name_H-M 'P 4/m m m'
_symmetry_Int_Tables_number 123
_symmetry_space_group_name_Hall '-P 4 2'
loop_
_atom_site_label
_atom_site_type_symbol
_atom_site_fract_x
_atom_site_fract_y
_atom_site_fract_z
Li1 Li 0.0000 0.0000 0.0000
Sc1 Sc 0.5000 0.5000 0.5000
P1 P 0.0000 0.5000 0.5000
Cl1 Cl 0.5000 0.5000 0.0000

***

[6]
# LiP2WCl | the Alexandria database | GGA-PBEsol | optimized geometry
# D(E_F): 2.74 states/eV/f.u.
# E above lowest polymorph: 0 meV per atom
data_LiP2WCl
_cell_length_a 4.6141
_cell_length_b 4.6141
_cell_length_c 5.0911
_cell_angle_alpha 90.00
_cell_angle_beta 90.00
_cell_angle_gamma 90.00
_symmetry_space_group_name_H-M 'P 4/m m m'
_symmetry_Int_Tables_number 123
_symmetry_space_group_name_Hall '-P 4 2'
loop_
_atom_site_label
_atom_site_type_symbol
_atom_site_fract_x
_atom_site_fract_y
_atom_site_fract_z
Li1 Li 0.0000 0.0000 0.0000
P1 P 0.0000 0.5000 0.5000
W1 W 0.5000 0.5000 0.5000
Cl1 Cl 0.5000 0.5000 0.0000